A geometry-optimized DyEr2Zn3Pt2Au structure, computed with PBE.

Cell: 3.812 12.746 7.341 Å, 90.00 90.00 90.00°
Space group Amm2 (No. 38)
Inequivalent atoms, fractional coordinates:
Dy1 0.000 0.000 0.000 [2 per cell]
Er1 0.000 0.204 0.613 [4 per cell]
Zn1 0.500 0.000 0.670 [2 per cell]
Zn2 0.500 0.130 0.279 [4 per cell]
Pt1 0.500 0.168 0.908 [4 per cell]
Au1 0.000 0.000 0.410 [2 per cell]

Computed properties:
Energy of formation from the pure elements: -893 meV per atom
E_tot: -4.549 eV/atom